(1)
# meta-GGA SCAN SrInAu2, single point on PBEsol structure
# * size of the total moment: 0.000 μB/atom
# * calculated volume: 291.9 Å³ per cell
# * E_form: -705 meV/atom
# * D(E_F): 0.402 states/eV/atom
# * E_tot: -590.39 eV for the cell shown
data_SrInAu2
_cell_length_a 4.7291
_cell_length_b 4.7291
_cell_length_c 15.0705
_cell_angle_alpha 90.00
_cell_angle_beta 90.00
_cell_angle_gamma 120.00
_space_group_name_H-M_alt 'R -3 m'
_space_group_IT_number 166
_space_group_name_Hall '-R 3 2"'
loop_
_atom_site_label
_atom_site_type_symbol
_atom_site_fract_x
_atom_site_fract_y
_atom_site_fract_z
_atom_site_occupancy
Sr1 Sr 0.0000 0.0000 0.0000 1
In1 In 0.0000 0.0000 0.5000 1
Au1 Au 0.0000 0.0000 0.2110 1

(2)
# meta-GGA SCAN Cs2KAsF6, single point on PBEsol structure
# * size of the total moment: 0.000 μB/atom
# * calculated volume: 774.9 Å³ per cell
# * D(E_F): 0.000 states/eV/atom
# * E_tot: -608.94 eV for the cell shown
data_Cs2KAsF6
_cell_length_a 9.185
_cell_length_b 9.185
_cell_length_c 9.185
_cell_angle_alpha 90.00
_cell_angle_beta 90.00
_cell_angle_gamma 90.00
_space_group_name_H-M_alt 'F m -3 m'
_space_group_IT_number 225
_space_group_name_Hall '-F 4 2 3'
loop_
_atom_site_label
_atom_site_type_symbol
_atom_site_fract_x
_atom_site_fract_y
_atom_site_fract_z
_atom_site_occupancy
Cs1 Cs 0.250 0.250 0.250 1
K1 K 0.000 0.000 0.000 1
As1 As 0.000 0.000 0.500 1
F1 F 0.000 0.000 0.276 1

(3)
# meta-GGA SCAN InTcHg2, single point on PBEsol structure
# * size of the total moment: 0.462 μB/atom
# * calculated volume: 78.7 Å³ per cell
# * E_form: 397 meV/atom
# * D(E_F): 0.475 states/eV/atom
# * E_tot: -203.19 eV for the cell shown
data_InTcHg2
_cell_length_a 2.994
_cell_length_b 2.994
_cell_length_c 8.782
_cell_angle_alpha 90.00
_cell_angle_beta 90.00
_cell_angle_gamma 90.00
_space_group_name_H-M_alt 'P 4 m m'
_space_group_IT_number 99
_space_group_name_Hall 'P 4 -2'
loop_
_atom_site_label
_atom_site_type_symbol
_atom_site_fract_x
_atom_site_fract_y
_atom_site_fract_z
_atom_site_occupancy
In1 In 0.000 0.000 0.000 1
Tc1 Tc 0.500 0.500 0.213 1
Hg1 Hg 0.000 0.000 0.433 1
Hg2 Hg 0.500 0.500 0.714 1

(4)
# meta-GGA SCAN Ce2Si2NiPt, single point on PBEsol structure
# * size of the total moment: 0.173 μB/atom
# * calculated volume: 229.0 Å³ per cell
# * D(E_F): 1.021 states/eV/atom
# * E_tot: -402.97 eV for the cell shown
data_Ce2Si2NiPt
_cell_length_a 3.916
_cell_length_b 4.085
_cell_length_c 14.315
_cell_angle_alpha 90.00
_cell_angle_beta 90.00
_cell_angle_gamma 90.00
_space_group_name_H-M_alt 'I m m 2'
_space_group_IT_number 44
_space_group_name_Hall 'I 2 -2'
loop_
_atom_site_label
_atom_site_type_symbol
_atom_site_fract_x
_atom_site_fract_y
_atom_site_fract_z
_atom_site_occupancy
Ce1 Ce 0.000 0.000 0.000 1
Ce2 Ce 0.000 0.500 0.255 1
Si1 Si 0.000 0.000 0.579 1
Si2 Si 0.000 0.500 0.840 1
Ni1 Ni 0.000 0.000 0.420 1
Pt1 Pt 0.000 0.500 0.669 1

(5)
# meta-GGA SCAN Li2Cr2O7, single point on PBEsol structure
# * size of the total moment: 0.000 μB/atom
# * calculated volume: 591.9 Å³ per cell
# * D(E_F): 0.000 states/eV/atom
# * E_tot: -428.84 eV for the cell shown
# * ΔE to the lowest computed polymorph: 0.000 eV per atom
data_Li2Cr2O7
_cell_length_a 13.706
_cell_length_b 8.370
_cell_length_c 5.224
_cell_angle_alpha 90.00
_cell_angle_beta 99.05
_cell_angle_gamma 90.00
_space_group_name_H-M_alt 'C 1 2/c 1'
_space_group_IT_number 15
_space_group_name_Hall '-C 2yc'
loop_
_atom_site_label
_atom_site_type_symbol
_atom_site_fract_x
_atom_site_fract_y
_atom_site_fract_z
_atom_site_occupancy
Li1 Li 0.201 0.066 0.400 1
Cr1 Cr 0.117 0.285 0.872 1
O1 O 0.000 0.360 0.750 1
O2 O 0.123 0.239 0.172 1
O3 O 0.141 0.126 0.712 1
O4 O 0.198 0.423 0.843 1

(6)
# meta-GGA SCAN Ag2Se, single point on PBEsol structure
# * size of the total moment: 0.000 μB/atom
# * calculated volume: 247.9 Å³ per cell
# * D(E_F): 0.048 states/eV/atom
# * E_tot: -331.81 eV for the cell shown
data_Ag2Se
_cell_length_a 6.282
_cell_length_b 6.282
_cell_length_c 6.282
_cell_angle_alpha 90.00
_cell_angle_beta 90.00
_cell_angle_gamma 90.00
_space_group_name_H-M_alt 'F m -3 m'
_space_group_IT_number 225
_space_group_name_Hall '-F 4 2 3'
loop_
_atom_site_label
_atom_site_type_symbol
_atom_site_fract_x
_atom_site_fract_y
_atom_site_fract_z
_atom_site_occupancy
Ag1 Ag 0.250 0.250 0.250 1
Se1 Se 0.000 0.000 0.000 1

(7)
# meta-GGA SCAN CdFeSi2, single point on PBEsol structure
# * size of the total moment: 0.000 μB/atom
# * calculated volume: 121.3 Å³ per cell
# * D(E_F): 0.457 states/eV/atom
# * E_tot: -135.97 eV for the cell shown
data_CdFeSi2
_cell_length_a 2.650
_cell_length_b 3.737
_cell_length_c 12.250
_cell_angle_alpha 90.00
_cell_angle_beta 90.00
_cell_angle_gamma 90.00
_space_group_name_H-M_alt 'I m m 2'
_space_group_IT_number 44
_space_group_name_Hall 'I 2 -2'
loop_
_atom_site_label
_atom_site_type_symbol
_atom_site_fract_x
_atom_site_fract_y
_atom_site_fract_z
_atom_site_occupancy
Cd1 Cd 0.000 0.000 0.000 1
Fe1 Fe 0.000 0.500 0.297 1
Si1 Si 0.000 0.000 0.644 1
Si2 Si 0.000 0.500 0.813 1

(8)
# meta-GGA SCAN TaMnIn2, single point on PBEsol structure
# * size of the total moment: 0.000 μB/atom
# * calculated volume: 72.6 Å³ per cell
# * E_form: 181 meV/atom
# * D(E_F): 0.276 states/eV/atom
# * E_tot: -150.89 eV for the cell shown
# * ΔE to the lowest computed polymorph: 0.026 eV per atom
data_TaMnIn2
_cell_length_a 3.051
_cell_length_b 3.051
_cell_length_c 7.804
_cell_angle_alpha 90.00
_cell_angle_beta 90.00
_cell_angle_gamma 90.00
_space_group_name_H-M_alt 'P 4 m m'
_space_group_IT_number 99
_space_group_name_Hall 'P 4 -2'
loop_
_atom_site_label
_atom_site_type_symbol
_atom_site_fract_x
_atom_site_fract_y
_atom_site_fract_z
_atom_site_occupancy
Ta1 Ta 0.000 0.000 0.000 1
Mn1 Mn 0.500 0.500 0.833 1
In1 In 0.000 0.000 0.608 1
In2 In 0.500 0.500 0.276 1

(9)
# meta-GGA SCAN NiPtRh2, single point on PBEsol structure
# * size of the total moment: 0.480 μB/atom
# * calculated volume: 105.7 Å³ per cell
# * E_form: -30 meV/atom
# * D(E_F): 1.182 states/eV/atom
# * E_tot: -308.06 eV for the cell shown
data_NiPtRh2
_cell_length_a 8.750
_cell_length_b 2.679
_cell_length_c 4.588
_cell_angle_alpha 90.00
_cell_angle_beta 100.62
_cell_angle_gamma 90.00
_space_group_name_H-M_alt 'C 1 m 1'
_space_group_IT_number 8
_space_group_name_Hall 'C -2y'
loop_
_atom_site_label
_atom_site_type_symbol
_atom_site_fract_x
_atom_site_fract_y
_atom_site_fract_z
_atom_site_occupancy
Ni1 Ni 0.000 0.000 0.000 1
Pt1 Pt 0.251 0.000 0.757 1
Rh1 Rh 0.246 0.500 0.251 1
Rh2 Rh 0.497 0.000 0.489 1

(10)
# meta-GGA SCAN ErFe2Si2, single point on PBEsol structure
# * size of the total moment: 0.293 μB/atom
# * calculated volume: 142.0 Å³ per cell
# * D(E_F): 0.482 states/eV/atom
# * E_tot: -219.20 eV for the cell shown
data_ErFe2Si2
_cell_length_a 3.890
_cell_length_b 3.890
_cell_length_c 9.386
_cell_angle_alpha 90.00
_cell_angle_beta 90.00
_cell_angle_gamma 90.00
_space_group_name_H-M_alt 'I 4/m m m'
_space_group_IT_number 139
_space_group_name_Hall '-I 4 2'
loop_
_atom_site_label
_atom_site_type_symbol
_atom_site_fract_x
_atom_site_fract_y
_atom_site_fract_z
_atom_site_occupancy
Er1 Er 0.000 0.000 0.000 1
Fe1 Fe 0.000 0.500 0.250 1
Si1 Si 0.000 0.000 0.368 1

(11)
# meta-GGA SCAN AlZn, single point on PBEsol structure
# * size of the total moment: 0.000 μB/atom
# * calculated volume: 91.5 Å³ per cell
# * E_form: 8 meV/atom
# * D(E_F): 0.298 states/eV/atom
# * E_tot: -63.75 eV for the cell shown
data_AlZn
_cell_length_a 2.7795
_cell_length_b 2.7795
_cell_length_c 13.6745
_cell_angle_alpha 90.00
_cell_angle_beta 90.00
_cell_angle_gamma 120.00
_space_group_name_H-M_alt 'R -3 m'
_space_group_IT_number 166
_space_group_name_Hall '-R 3 2"'
loop_
_atom_site_label
_atom_site_type_symbol
_atom_site_fract_x
_atom_site_fract_y
_atom_site_fract_z
_atom_site_occupancy
Al1 Al 0.0000 0.0000 0.0000 1
Zn1 Zn 0.0000 0.0000 0.5000 1

(12)
# meta-GGA SCAN TiOsI2O, single point on PBEsol structure
# * size of the total moment: 0.781 μB/atom
# * calculated volume: 101.5 Å³ per cell
# * D(E_F): 0.355 states/eV/atom
# * E_tot: -166.90 eV for the cell shown
data_TiOsI2O
_cell_length_a 5.326
_cell_length_b 5.326
_cell_length_c 3.578
_cell_angle_alpha 90.00
_cell_angle_beta 90.00
_cell_angle_gamma 90.00
_space_group_name_H-M_alt 'P 4/m m m'
_space_group_IT_number 123
_space_group_name_Hall '-P 4 2'
loop_
_atom_site_label
_atom_site_type_symbol
_atom_site_fract_x
_atom_site_fract_y
_atom_site_fract_z
_atom_site_occupancy
Ti1 Ti 0.000 0.000 0.000 1
Os1 Os 0.500 0.500 0.500 1
I1 I 0.000 0.500 0.000 1
O1 O 0.000 0.000 0.500 1

(13)
# meta-GGA SCAN ScHg2Ir, single point on PBEsol structure
# * size of the total moment: 0.000 μB/atom
# * calculated volume: 143.5 Å³ per cell
# * E_form: -244 meV/atom
# * D(E_F): 0.492 states/eV/atom
# * E_tot: -445.29 eV for the cell shown
# * ΔE to the lowest computed polymorph: 0.000 eV per atom
data_ScHg2Ir
_cell_length_a 4.136
_cell_length_b 4.180
_cell_length_c 8.302
_cell_angle_alpha 90.00
_cell_angle_beta 90.00
_cell_angle_gamma 90.00
_space_group_name_H-M_alt 'I m m 2'
_space_group_IT_number 44
_space_group_name_Hall 'I 2 -2'
loop_
_atom_site_label
_atom_site_type_symbol
_atom_site_fract_x
_atom_site_fract_y
_atom_site_fract_z
_atom_site_occupancy
Sc1 Sc 0.000 0.000 0.000 1
Hg1 Hg 0.000 0.000 0.503 1
Hg2 Hg 0.000 0.500 0.752 1
Ir1 Ir 0.000 0.500 0.255 1

(14)
# meta-GGA SCAN KSrIn4, single point on PBEsol structure
# * size of the total moment: 0.000 μB/atom
# * calculated volume: 680.0 Å³ per cell
# * E_form: -371 meV/atom
# * D(E_F): 0.523 states/eV/atom
# * E_tot: -665.51 eV for the cell shown
data_KSrIn4
_cell_length_a 8.794
_cell_length_b 8.794
_cell_length_c 8.794
_cell_angle_alpha 90.00
_cell_angle_beta 90.00
_cell_angle_gamma 90.00
_space_group_name_H-M_alt 'F -4 3 m'
_space_group_IT_number 216
_space_group_name_Hall 'F -4 2 3'
loop_
_atom_site_label
_atom_site_type_symbol
_atom_site_fract_x
_atom_site_fract_y
_atom_site_fract_z
_atom_site_occupancy
K1 K 0.000 0.000 0.000 1
Sr1 Sr 0.250 0.250 0.250 1
In1 In 0.125 0.125 0.625 1

(15)
# meta-GGA SCAN TlCu2IBr, single point on PBEsol structure
# * size of the total moment: 0.000 μB/atom
# * calculated volume: 147.4 Å³ per cell
# * D(E_F): 0.220 states/eV/atom
# * E_tot: -157.39 eV for the cell shown
data_TlCu2IBr
_cell_length_a 4.751
_cell_length_b 4.751
_cell_length_c 6.529
_cell_angle_alpha 90.00
_cell_angle_beta 90.00
_cell_angle_gamma 90.00
_space_group_name_H-M_alt 'P 4/m m m'
_space_group_IT_number 123
_space_group_name_Hall '-P 4 2'
loop_
_atom_site_label
_atom_site_type_symbol
_atom_site_fract_x
_atom_site_fract_y
_atom_site_fract_z
_atom_site_occupancy
Tl1 Tl 0.000 0.000 0.000 1
Cu1 Cu 0.000 0.500 0.500 1
I1 I 0.500 0.500 0.000 1
Br1 Br 0.000 0.000 0.500 1

(16)
# meta-GGA SCAN RbMgCo2, single point on PBEsol structure
# * size of the total moment: 0.801 μB/atom
# * calculated volume: 400.7 Å³ per cell
# * E_form: 912 meV/atom
# * D(E_F): 0.527 states/eV/atom
# * E_tot: -226.69 eV for the cell shown
data_RbMgCo2
_cell_length_a 4.649
_cell_length_b 4.649
_cell_length_c 18.541
_cell_angle_alpha 90.00
_cell_angle_beta 90.00
_cell_angle_gamma 90.00
_space_group_name_H-M_alt 'I 41/a m d'
_space_group_IT_number 141
loop_
_space_group_symop_operation_xyz
'x,y,z'
'-x,-y,-z'
'-y+1/4,x+3/4,z+1/4'
'y+1/4,-x+3/4,-z+1/4'
'-x+1/2,-y,z+1/2'
'x+1/2,y,-z+1/2'
'y+1/4,-x+1/4,z+3/4'
'-y+1/4,x+1/4,-z+3/4'
'x,-y,-z'
'-x,y,z'
'-y+1/4,-x+1/4,-z+3/4'
'y+1/4,x+1/4,z+3/4'
'-x+1/2,y,-z+1/2'
'x+1/2,-y,z+1/2'
'y+1/4,x+3/4,-z+1/4'
'-y+1/4,-x+3/4,z+1/4'
'x+1/2,y+1/2,z+1/2'
'-x+1/2,-y+1/2,-z+1/2'
'-y+3/4,x+1/4,z+3/4'
'y+3/4,-x+1/4,-z+3/4'
'-x,-y+1/2,z'
'x,y+1/2,-z'
'y+3/4,-x+3/4,z+1/4'
'-y+3/4,x+3/4,-z+1/4'
'x+1/2,-y+1/2,-z+1/2'
'-x+1/2,y+1/2,z+1/2'
'-y+3/4,-x+3/4,-z+1/4'
'y+3/4,x+3/4,z+1/4'
'-x,y+1/2,-z'
'x,-y+1/2,z'
'y+3/4,x+1/4,-z+3/4'
'-y+3/4,-x+1/4,z+3/4'
loop_
_atom_site_label
_atom_site_type_symbol
_atom_site_fract_x
_atom_site_fract_y
_atom_site_fract_z
_atom_site_occupancy
Rb1 Rb 0.000 0.250 0.375 1
Mg1 Mg 0.000 0.250 0.875 1
Co1 Co 0.000 0.000 0.000 1

(17)
# meta-GGA SCAN Be2IrAu, single point on PBEsol structure
# * size of the total moment: 0.000 μB/atom
# * calculated volume: 97.5 Å³ per cell
# * E_form: -341 meV/atom
# * D(E_F): 0.255 states/eV/atom
# * E_tot: -300.65 eV for the cell shown
data_Be2IrAu
_cell_length_a 2.957
_cell_length_b 3.306
_cell_length_c 9.978
_cell_angle_alpha 90.00
_cell_angle_beta 90.00
_cell_angle_gamma 90.00
_space_group_name_H-M_alt 'I m m 2'
_space_group_IT_number 44
_space_group_name_Hall 'I 2 -2'
loop_
_atom_site_label
_atom_site_type_symbol
_atom_site_fract_x
_atom_site_fract_y
_atom_site_fract_z
_atom_site_occupancy
Be1 Be 0.000 0.000 0.000 1
Be2 Be 0.000 0.500 0.237 1
Ir1 Ir 0.000 0.500 0.669 1
Au1 Au 0.000 0.000 0.418 1

(18)
# meta-GGA SCAN BeBSeBr2, single point on PBEsol structure
# * size of the total moment: 0.000 μB/atom
# * calculated volume: 100.9 Å³ per cell
# * D(E_F): 0.533 states/eV/atom
# * E_tot: -66.79 eV for the cell shown
data_BeBSeBr2
_cell_length_a 4.703
_cell_length_b 4.703
_cell_length_c 4.563
_cell_angle_alpha 90.00
_cell_angle_beta 90.00
_cell_angle_gamma 90.00
_space_group_name_H-M_alt 'P 4/m m m'
_space_group_IT_number 123
_space_group_name_Hall '-P 4 2'
loop_
_atom_site_label
_atom_site_type_symbol
_atom_site_fract_x
_atom_site_fract_y
_atom_site_fract_z
_atom_site_occupancy
Be1 Be 0.000 0.000 0.000 1
B1 B 0.500 0.500 0.500 1
Se1 Se 0.000 0.000 0.500 1
Br1 Br 0.000 0.500 0.000 1

(19)
# meta-GGA SCAN MnTcSb, single point on PBEsol structure
# * size of the total moment: 0.554 μB/atom
# * calculated volume: 213.0 Å³ per cell
# * D(E_F): 1.097 states/eV/atom
# * E_tot: -360.80 eV for the cell shown
data_MnTcSb
_cell_length_a 5.972
_cell_length_b 5.972
_cell_length_c 5.972
_cell_angle_alpha 90.00
_cell_angle_beta 90.00
_cell_angle_gamma 90.00
_space_group_name_H-M_alt 'F -4 3 m'
_space_group_IT_number 216
_space_group_name_Hall 'F -4 2 3'
loop_
_atom_site_label
_atom_site_type_symbol
_atom_site_fract_x
_atom_site_fract_y
_atom_site_fract_z
_atom_site_occupancy
Mn1 Mn 0.000 0.000 0.000 1
Tc1 Tc 0.250 0.250 0.250 1
Sb1 Sb 0.000 0.000 0.500 1

(20)
# meta-GGA SCAN Ho3Ga2, single point on PBEsol structure
# * size of the total moment: 0.000 μB/atom
# * calculated volume: 1884.3 Å³ per cell
# * E_form: -631 meV/atom
# * D(E_F): 0.456 states/eV/atom
# * E_tot: -2924.96 eV for the cell shown
data_Ho3Ga2
_cell_length_a 11.365
_cell_length_b 11.365
_cell_length_c 14.589
_cell_angle_alpha 90.00
_cell_angle_beta 90.00
_cell_angle_gamma 90.00
_space_group_name_H-M_alt 'I 4/m c m'
_space_group_IT_number 140
_space_group_name_Hall '-I 4 2c'
loop_
_atom_site_label
_atom_site_type_symbol
_atom_site_fract_x
_atom_site_fract_y
_atom_site_fract_z
_atom_site_occupancy
Ho1 Ho 0.000 0.500 0.147 1
Ho2 Ho 0.067 0.202 0.135 1
Ho3 Ho 0.169 0.331 0.500 1
Ga1 Ga 0.000 0.000 0.000 1
Ga2 Ga 0.000 0.000 0.250 1
Ga3 Ga 0.117 0.383 0.000 1
Ga4 Ga 0.178 0.322 0.298 1